First-principles (GGA-PBE) data for a geometry-optimized NaLa2Sn2 structure, as listed in the Alexandria database.

Properties
Size of the total moment (μB/cell): 0.00
Formation enthalpy at 0 K (meV per atom): -187
Energy above the lowest structure with this stoichiometry (eV/f.u.): 2.111

Cell: 5.1662 5.1662 13.7936 Å, 90.00 90.00 90.00°
Last column: nearest neighbours and their distance in Å.
Space group I4/mmm (No. 139)
Inequivalent atoms, fractional coordinates:
Na1 0.0000 0.0000 0.0000 [2 per cell]  8 Sn 3.92, 8 La 4.31
La1 0.0000 0.5000 0.2500 [4 per cell]  4 Sn 3.28, 4 La 3.65
Sn1 0.0000 0.0000 0.3968 [4 per cell]  1 Sn 2.85

***

First-principles (GGA-PBE) data for a geometry-optimized NaLa5Sn3 structure, as listed in the Alexandria database.

Properties
Size of the total moment (μB/cell): 4.43
Formation enthalpy at 0 K (meV per atom): -602

Cell: 9.8549 9.8549 6.8230 Å, 90.00 90.00 120.00°
Last column: nearest neighbours and their distance in Å.
Space group P6_3/mcm (No. 193)
Inequivalent atoms, fractional coordinates:
Na1 0.0000 0.0000 0.0000 [2 per cell]  2 Na 3.41, 6 La 3.57, 6 Sn 3.82
La1 0.0000 0.3184 0.2500 [6 per cell]  5 Sn 3.29-3.42, 2 Na 3.57
La2 0.3333 0.6667 0.0000 [4 per cell]  8 La 3.41-3.77, 6 Sn 3.64
Sn1 0.0000 0.3469 0.7500 [6 per cell]  9 La 3.29-3.64

***

First-principles (GGA-PBE) data for a geometry-optimized NaLaSn structure, as listed in the Alexandria database.

Properties
Size of the total moment (μB/cell): 0.00
Formation enthalpy at 0 K (meV per atom): -551

Cell: 5.6163 5.6163 6.7250 Å, 90.00 90.00 120.00°
Last column: nearest neighbours and their distance in Å.
Space group P6_3/mmc (No. 194)
Inequivalent atoms, fractional coordinates:
Na1 0.0000 0.0000 0.0000 [2 per cell]  2 Na 3.36, 6 La 3.65, 6 Sn 3.65
La1 0.3333 0.6667 0.2500 [2 per cell]  5 Sn 3.24-3.36
Sn1 0.3333 0.6667 0.7500 [2 per cell]  5 La 3.24-3.36

***

First-principles (GGA-PBE) data for a geometry-optimized Na3LaSn structure, as listed in the Alexandria database.

Properties
Size of the total moment (μB/cell): 0.00
Formation enthalpy at 0 K (meV per atom): 1117

Cell: 5.7911 5.7911 5.7911 Å, 90.00 90.00 90.00°
Last column: nearest neighbours and their distance in Å.
Space group Pm-3m (No. 221)
Inequivalent atoms, fractional coordinates:
Na1 0.0000 0.0000 0.5000 [3 per cell]  2 La 2.90
La1 0.0000 0.0000 0.0000 [1 per cell]  6 Na 2.90
Sn1 0.5000 0.5000 0.5000 [1 per cell]  12 Na 4.09

***

First-principles (GGA-PBE) data for a geometry-optimized NaLa2Sn2 structure, as listed in the Alexandria database.

Properties
Size of the total moment (μB/cell): 0.00
Formation enthalpy at 0 K (meV per atom): -491
Energy above the lowest structure with this stoichiometry (eV/f.u.): 0.592

Cell: 9.5212 9.5212 3.6347 Å, 90.00 90.00 90.00°
Last column: nearest neighbours and their distance in Å.
Space group P4/mbm (No. 127)
Inequivalent atoms, fractional coordinates:
Na1 0.0000 0.0000 0.0000 [2 per cell]  2 Na 3.63, 4 La 3.74, 8 Sn 3.98
La1 0.1298 0.3702 0.0000 [4 per cell]  6 Sn 3.26-3.40, 3 La 3.49-3.63
Sn1 0.1692 0.6692 0.5000 [4 per cell]  6 La 3.26-3.40, 2 Sn 3.63

***

First-principles (GGA-PBE) data for a geometry-optimized NaLaSn4 structure, as listed in the Alexandria database.

Properties
Size of the total moment (μB/cell): 0.00
Formation enthalpy at 0 K (meV per atom): -386

Cell: 4.7096 22.4669 6.8180 Å, 90.00 90.00 90.00°
Last column: nearest neighbours and their distance in Å.
Space group Cmcm (No. 63)
Inequivalent atoms, fractional coordinates:
Na1 0.0000 0.2343 0.2500 [4 per cell]  7 Sn 3.25-3.46
La1 0.0000 0.0712 0.7500 [4 per cell]  11 Sn 3.32-3.48
Sn1 0.0000 0.0805 0.2500 [4 per cell]  8 Sn 3.19-3.42, 3 La 3.41-3.42, 1 Na 3.46
Sn2 0.0000 0.3521 0.5273 [8 per cell]  4 Sn 3.04-3.33, 1 Na 3.25
Sn3 0.0000 0.5000 0.0000 [4 per cell]  4 La 3.32, 8 Sn 3.33-3.42